[1]
Compound: YMnPb
Source: the Alexandria database
Functional: PBE-GGA
Structure: optimized geometry

Cell and atoms, written as extended XYZ:
```
3
Lattice="0.0000 3.3811 3.3811 3.3811 0.0000 3.3811 3.3811 3.3811 0.0000" Properties=species:S:1:pos:R:3 pbc="T T T"
Y 0.0000 0.0000 0.0000
Mn 5.0716 5.0716 5.0716
Pb 3.3811 3.3811 3.3811
```

Properties
Its density of states at the Fermi level is 4.06 states/eV/cell. For the total energy, the calculation gives -6.360 eV/atom. As for the space group: F-43m (216). The calculation puts the volume at 25.8 Å³ per atom.



[2]
Compound: YMnPb3
Source: the Alexandria database
Functional: PBE-GGA
Structure: optimized geometry

Cell and atoms, written as extended XYZ:
```
5
Lattice="5.1590 0.0000 0.0000 0.0000 5.1590 0.0000 0.0000 0.0000 5.1590" Properties=species:S:1:pos:R:3 pbc="T T T"
Y 0.0000 0.0000 0.0000
Mn 2.5795 2.5795 2.5795
Pb 0.0000 2.5795 2.5795
Pb 2.5795 0.0000 2.5795
Pb 2.5795 2.5795 0.0000
```

Properties
Its density of states at the Fermi level is 5.09 states/eV/cell. The energy above the lowest structure with this stoichiometry comes out at 0 meV per atom. For the total energy, the calculation gives -4.994 eV/atom. As for the space group: Pm-3m (221). The calculation puts the volume at 27.5 Å³ per atom.



[3]
Compound: YMnPb2
Source: the Alexandria database
Functional: PBE-GGA
Structure: optimized geometry

Cell and atoms, written as extended XYZ:
```
4
Lattice="0.0000 3.5573 3.5573 3.5573 0.0000 3.5573 3.5573 3.5573 0.0000" Properties=species:S:1:pos:R:3 pbc="T T T"
Y 0.0000 0.0000 0.0000
Mn 3.5573 3.5573 3.5573
Pb 1.7786 1.7786 1.7786
Pb 5.3359 5.3359 5.3359
```

Properties
Its density of states at the Fermi level is 2.69 states/eV/cell. The energy above the lowest structure with this stoichiometry comes out at 396 meV per atom. For the total energy, the calculation gives -5.412 eV/atom. As for the space group: Fm-3m (225). The calculation puts the volume at 22.5 Å³ per atom.



[4]
Compound: YMnPb2
Source: the Alexandria database
Functional: PBE-GGA
Structure: optimized geometry

Cell and atoms, written as extended XYZ:
```
4
Lattice="3.4357 -4.2067 0.0000 3.4357 4.2067 0.0000 -0.0357 0.0000 3.5634" Properties=species:S:1:pos:R:3 pbc="T T T"
Y 0.0000 0.0000 0.0000
Mn 3.4357 0.0000 0.0000
Pb 1.7000 2.1034 1.7817
Pb 1.7000 -2.1034 1.7817
```

Properties
Its density of states at the Fermi level is 3.36 states/eV/cell. The energy above the lowest structure with this stoichiometry comes out at 81 meV per atom. For the total energy, the calculation gives -5.728 eV/atom. As for the space group: C2/m (12). The calculation puts the volume at 25.8 Å³ per atom.



For each record above, in turn, the calculated formation enthalpy at 0 K values are 0.087 0.358 0.350 0.035 eV per atom.
For each record above, in turn, the calculated ρ values are 7.54 9.26 10.30 9.00 g/cm³.